Entry from the Alexandria database: a relaxed structure of SrNb3Cr (PBE-GGA).

Calculated values
D(E_F) in states/eV/f.u.: 3.44
Total moment in Bohr magnetons per cell: 0.0
Uncorrected energy in eV per atom: -7.46
Energy relative to the lowest polymorph listed for this composition in eV/atom: 0.000
E_form in eV per atom: 0.843
ρ in g cm⁻³: 6.20
Calculated volume in Å³/f.u.: 112

The structure in CIF format:
```
data_SrNb3Cr
_space_group_name_H-M_alt 'P m -3 m'
_space_group_IT_number 221
_space_group_name_Hall '-P 4 2 3'
_cell_length_a 4.821
_cell_length_b 4.821
_cell_length_c 4.821
_cell_angle_alpha 90.00
_cell_angle_beta 90.00
_cell_angle_gamma 90.00
loop_
_atom_site_label
_atom_site_type_symbol
_atom_site_fract_x
_atom_site_fract_y
_atom_site_fract_z
Sr1 Sr 0.000 0.000 0.000
Nb1 Nb 0.000 0.500 0.500
Cr1 Cr 0.500 0.500 0.500
```